A relaxed structure of Ho6Zn23. Source: Alexandria, functional PBE.

Properties
As for the symmetry: No. 225. As for the formation energy: -7.0 kcal/mol of atoms.

Unit cell a=8.9503 b=8.9503 c=8.9503 alpha=60.00 beta=60.00 gamma=60.00
Closest atoms and distances in Å follow each position.
Atoms (fractional coordinates):
Ho 0.2073 0.2073 0.7927  12 Zn 3.08-3.21
Ho 0.2073 0.7927 0.2073  12 Zn 3.08-3.21
Ho 0.2073 0.7927 0.7927  12 Zn 3.08-3.21
Ho 0.7927 0.2073 0.2073  12 Zn 3.08-3.21
Ho 0.7927 0.2073 0.7927  12 Zn 3.08-3.21
Ho 0.7927 0.7927 0.2073  12 Zn 3.08-3.21
Zn 0.0000 0.0000 0.5000  8 Zn 2.59-2.76
Zn 0.0000 0.5000 0.0000  8 Zn 2.59-2.76
Zn 0.0000 0.5000 0.5000  8 Zn 2.59-2.76
Zn 0.1309 0.6230 0.6230  7 Zn 2.70-2.76
Zn 0.1710 0.1710 0.1710  9 Zn 2.59-2.83
Zn 0.1710 0.1710 0.4870  9 Zn 2.59-2.83
Zn 0.1710 0.4870 0.1710  9 Zn 2.59-2.83
Zn 0.3770 0.3770 0.3770  7 Zn 2.70-2.76
Zn 0.3770 0.3770 0.8691  7 Zn 2.70-2.76
Zn 0.3770 0.8691 0.3770  7 Zn 2.70-2.76
Zn 0.4870 0.1710 0.1710  9 Zn 2.59-2.83
Zn 0.5000 0.0000 0.0000  8 Zn 2.59-2.76
Zn 0.5000 0.0000 0.5000  8 Zn 2.59-2.76
Zn 0.5000 0.5000 0.0000  8 Zn 2.59-2.76
Zn 0.5000 0.5000 0.5000  8 Zn 2.70
Zn 0.5130 0.8290 0.8290  9 Zn 2.59-2.83
Zn 0.6230 0.1309 0.6230  7 Zn 2.70-2.76
Zn 0.6230 0.6230 0.1309  7 Zn 2.70-2.76
Zn 0.6230 0.6230 0.6230  7 Zn 2.70-2.76
Zn 0.8290 0.5130 0.8290  9 Zn 2.59-2.83
Zn 0.8290 0.8290 0.5130  9 Zn 2.59-2.83
Zn 0.8290 0.8290 0.8290  9 Zn 2.59-2.83
Zn 0.8691 0.3770 0.3770  7 Zn 2.70-2.76